The following is a PBE calculation of a relaxed Tm6Se5S crystal, from Alexandria.

Raw formation energy (eV/atom): -1.7135
VASP energy (eV/atom): -5.745

a = 6.924 Å, b = 6.924 Å, c = 6.914 Å
α = 99.52°, β = 99.52°, γ = 120.11°
Fractional coordinates of all 12 atoms:
S 0.000 0.000 0.000
Tm 0.386 0.076 0.231
Tm 0.924 0.614 0.769
Tm 0.230 0.230 0.763
Tm 0.770 0.770 0.237
Tm 0.076 0.386 0.231
Tm 0.614 0.924 0.769
Se 0.826 0.174 0.500
Se 0.665 0.335 0.000
Se 0.500 0.500 0.500
Se 0.335 0.665 0.000
Se 0.174 0.826 0.500